1.
Material: AgBi3Sb
Method: DFT, PBE-GGA
State: relaxed

Cell and atoms, written as extended XYZ:
```
5
Lattice="-3.0832 -2.9865 -3.4590 4.5573 -1.6994 -2.5949 0.3395 -4.3108 3.4194" Properties=species:S:1:pos:R:3 pbc="T T T"
Ag 0.0000 0.0000 0.0000
Bi -1.5416 -1.4933 -1.7295
Bi 0.1698 -2.1554 1.7097
Bi 2.2786 -0.8497 -1.2975
Sb 0.9068 -4.4983 -1.3173
```

Values from the calculation:
E_form (uncorrected): 13.7 kcal/mol of atoms
energy relative to the lowest polymorph listed for this composition: 0.000 kcal/mol of atoms
symmetry: Pm-3m, No. 221
magnetization: 0.00 μB per formula unit


2.
Material: NaNdAuS2
Method: DFT, PBE-GGA
State: relaxed

Cell and atoms, written as extended XYZ:
```
10
Lattice="5.2310 0.0000 0.0000 0.0000 6.3631 0.8171 0.0000 -1.0131 7.7020" Properties=species:S:1:pos:R:3 pbc="T T T"
Na 5.2207 2.9283 2.3340
Na 0.0103 2.4217 6.1850
Au 0.0000 -0.5065 3.8510
Au 0.0000 0.0000 0.0000
S 1.6077 4.0939 4.4368
S 3.6233 3.5874 8.2878
S 3.6233 1.2561 4.0823
S 1.6077 1.7626 0.2313
Nd 2.6169 -0.7598 5.7765
Nd 2.6141 -0.2533 1.9255
```

Values from the calculation:
E_form (uncorrected): -24.4 kcal/mol of atoms
symmetry: P2/c, No. 13
magnetization: 0.00 μB per formula unit


3.
Material: Cs2P2PbS6
Method: DFT, PBE-GGA
State: relaxed

Cell and atoms, written as extended XYZ:
```
11
Lattice="-5.7173 4.3499 1.0189 -6.6423 -2.8389 0.6838 -3.1916 0.0514 7.7071" Properties=species:S:1:pos:R:3 pbc="T T T"
P -7.6236 0.7072 5.8734
P -7.9275 0.8552 3.5363
S -9.9387 1.1221 3.3632
S -5.6124 0.4403 6.0465
S -8.7623 -0.9060 6.3708
S -8.3237 2.5031 6.5297
S -6.7888 2.4684 3.0389
S -7.2274 -0.9407 2.8800
Cs -3.8428 0.3687 2.6982
Cs -11.7083 1.1937 6.7115
Pb 0.0000 0.0000 0.0000
```

Values from the calculation:
E_form (uncorrected): -15.5 kcal/mol of atoms
symmetry: R-3m, No. 166
magnetization: 0.00 μB per formula unit